TbHoAl6 after structural relaxation, computed with PBE.

Cell: 6.2727 6.2727 4.6078 Å, 90.00 90.00 120.00°
Last column: nearest neighbours and their distance in Å.
Atoms (fractional coordinates):
Tb: 0.0000 0.0000 0.0000  12 Al 3.07-3.14
Ho: 0.3333 0.6667 0.5000  12 Al 3.06-3.14
Al: 0.3728 0.1864 0.5000  6 Al 2.76-2.81, 2 Tb 3.07
Al: 0.5189 0.0379 0.0000  6 Al 2.78-2.81, 2 Ho 3.06
Al: 0.5189 0.4811 0.0000  6 Al 2.78-2.81, 2 Ho 3.06
Al: 0.8136 0.1864 0.5000  6 Al 2.76-2.81, 2 Tb 3.07
Al: 0.8136 0.6272 0.5000  6 Al 2.76-2.81, 2 Tb 3.07
Al: 0.9621 0.4811 0.0000  6 Al 2.78-2.81, 2 Ho 3.06

Results
space-group type = P-6m2
electronic total energy = -4.391 eV per atom

=====

Tb2Ho2Al after structural relaxation, computed with PBE.

Cell: 3.6424 7.9380 10.3242 Å, 90.00 90.00 90.00°
Last column: nearest neighbours and their distance in Å.
Atoms (fractional coordinates):
Tb: 0.0000 0.0000 0.2476  2 Al 3.14, 2 Ho 3.50
Tb: 0.0000 0.0000 0.7524  2 Al 3.14, 2 Ho 3.50
Tb: 0.5000 0.5000 0.2524  2 Al 3.14, 2 Ho 3.50
Tb: 0.5000 0.5000 0.7476  2 Al 3.14, 2 Ho 3.50
Ho: 0.0000 0.3008 0.0000  2 Al 3.00, 1 Ho 3.16
Ho: 0.0000 0.6992 0.0000  2 Al 3.00, 1 Ho 3.16
Ho: 0.5000 0.1992 0.5000  2 Al 3.00, 1 Ho 3.16
Ho: 0.5000 0.8008 0.5000  2 Al 3.00, 1 Ho 3.16
Al: 0.0000 0.5000 0.5000  4 Ho 3.00, 4 Tb 3.14
Al: 0.5000 0.0000 0.0000  4 Ho 3.00, 4 Tb 3.14

Results
space-group type = Immm
electronic total energy = -4.464 eV per atom

=====

TbHoAl4 after structural relaxation, computed with PBE.

Cell: 4.3177 4.3440 13.4235 Å, 90.00 90.00 90.00°
Last column: nearest neighbours and their distance in Å.
Atoms (fractional coordinates):
Tb: 0.0000 0.0000 0.0000  10 Al 3.00-3.27, 2 Ho 3.35
Tb: 0.0000 0.5000 0.5000  10 Al 3.00-3.27, 2 Ho 3.35
Ho: 0.0000 0.0000 0.3096  10 Al 2.99-3.24
Ho: 0.0000 0.5000 0.8096  10 Al 2.99-3.24
Al: 0.0000 0.0000 0.6556  2 Ho 3.00, 2 Tb 3.01, 8 Al 3.06-3.10
Al: 0.0000 0.5000 0.1556  2 Ho 3.00, 2 Tb 3.01, 8 Al 3.06-3.10
Al: 0.5000 0.0000 0.1555  2 Ho 2.99, 2 Tb 3.00, 8 Al 3.06-3.11
Al: 0.5000 0.0000 0.4894  4 Tb 3.07, 6 Al 3.10-3.17, 2 Ho 3.24
Al: 0.5000 0.0000 0.8173  6 Al 3.06-3.17, 4 Ho 3.06, 2 Tb 3.27
Al: 0.5000 0.5000 0.3173  6 Al 3.06-3.17, 4 Ho 3.06, 2 Tb 3.27
Al: 0.5000 0.5000 0.6555  2 Ho 2.99, 2 Tb 3.00, 8 Al 3.06-3.11
Al: 0.5000 0.5000 0.9894  4 Tb 3.07, 6 Al 3.10-3.17, 2 Ho 3.24

Results
space-group type = Amm2
electronic total energy = -4.403 eV per atom
ΔE to the lowest computed polymorph = 39 meV per atom

=====

| no. | total moment (μB/cell) |
| --- | --- |
| 1 | 0.00 |
| 2 | 0.31 |
| 3 | 0.01 |